Entry 1:
# Pr4HgIr

A geometry-optimized Pr4HgIr structure (PBE-GGA, Alexandria).

```
data_Pr4HgIr
_chemical_formula_sum 'Pr16 Hg4 Ir4'
_symmetry_space_group_name_H-M 'P 1'
_symmetry_Int_Tables_number 1
_symmetry_space_group_name_Hall 'P 1'
_cell_length_a 10.0049
_cell_length_b 10.0049
_cell_length_c 10.0049
_cell_angle_alpha 60.00
_cell_angle_beta 60.00
_cell_angle_gamma 60.00
loop_
_atom_site_label
_atom_site_type_symbol
_atom_site_fract_x
_atom_site_fract_y
_atom_site_fract_z
Pr1 Pr 0.0586 0.0586 0.4414
Pr2 Pr 0.0586 0.4414 0.0586
Pr3 Pr 0.0586 0.4414 0.4414
Pr4 Pr 0.1894 0.1894 0.8106
Pr5 Pr 0.1894 0.8106 0.1894
Pr6 Pr 0.1894 0.8106 0.8106
Pr7 Pr 0.2015 0.5995 0.5995
Pr8 Pr 0.4414 0.0586 0.0586
Pr9 Pr 0.4414 0.0586 0.4414
Pr10 Pr 0.4414 0.4414 0.0586
Pr11 Pr 0.5995 0.2015 0.5995
Pr12 Pr 0.5995 0.5995 0.2015
Pr13 Pr 0.5995 0.5995 0.5995
Pr14 Pr 0.8106 0.1894 0.1894
Pr15 Pr 0.8106 0.1894 0.8106
Pr16 Pr 0.8106 0.8106 0.1894
Hg1 Hg 0.4997 0.8334 0.8334
Hg2 Hg 0.8334 0.4997 0.8334
Hg3 Hg 0.8334 0.8334 0.4997
Hg4 Hg 0.8334 0.8334 0.8334
Ir1 Ir 0.3916 0.3916 0.3916
Ir2 Ir 0.3916 0.3916 0.8252
Ir3 Ir 0.3916 0.8252 0.3916
Ir4 Ir 0.8252 0.3916 0.3916
```

Values from the calculation:
space group	F-43m (216)
ΔE to the lowest computed polymorph	0.0	kJ per mole of atoms
ΔE_f	-0.47	eV/atom
spin magnetization	0.00	μB per cell


Entry 2:
# Pm6InP2Se3

A geometry-optimized Pm6InP2Se3 structure (PBE-GGA, Alexandria).

```
data_Pm6InP2Se3
_chemical_formula_sum 'Pm6 In1 P2 Se3'
_symmetry_space_group_name_H-M 'P 1'
_symmetry_Int_Tables_number 1
_symmetry_space_group_name_Hall 'P 1'
_cell_length_a 9.4699
_cell_length_b 9.4699
_cell_length_c 8.5778
_cell_angle_alpha 103.19
_cell_angle_beta 103.19
_cell_angle_gamma 25.45
loop_
_atom_site_label
_atom_site_type_symbol
_atom_site_fract_x
_atom_site_fract_y
_atom_site_fract_z
Pm1 Pm 0.0050 0.0050 0.2642
Pm2 Pm 0.3282 0.3282 0.4279
Pm3 Pm 0.3289 0.3289 0.8994
Pm4 Pm 0.6711 0.6711 0.1006
Pm5 Pm 0.6718 0.6718 0.5721
Pm6 Pm 0.9950 0.9950 0.7358
In1 In 0.5000 0.5000 0.0000
P1 P 0.1684 0.1684 0.3362
P2 P 0.8316 0.8316 0.6638
Se1 Se 0.1656 0.1656 0.8312
Se2 Se 0.5000 0.5000 0.5000
Se3 Se 0.8344 0.8344 0.1688
```

Values from the calculation:
space group	C2/m (12)
E_form (uncorrected)	-1.5232	eV/atom
spin magnetization	0.00	μB per cell